## PmB2Ir2 (PBE)

Data for a geometry-optimized PmB2Ir2 structure.

It has space group I4/mmm (No. 139), with a = 3.956 Å, b = 3.956 Å, c = 18.036 Å, α = 90.00°, β = 90.00° and γ = 90.00°. The distinct sites, in fractional coordinates, are Pm at (0.000, 0.000, 0.125), B at (0.000, 0.000, 0.435), B at (0.000, 0.500, 0.250), Ir at (0.000, 0.000, 0.304) and Ir at (0.000, 0.500, 0.000).

For the density of states at the Fermi level, the calculation gives 11.2 states/eV/cell. For the mass density, the calculation gives 13.0 g/cm³. The total energy comes out at -7.6535 eV per atom. Its energy of formation from the pure elements is -488.0 meV/atom. Its offset from the most stable computed form is 242 meV/atom.